Entry from Alexandria via LeMat-Bulk: a relaxed Tb12Ho2Pu crystal (PBE).

Output
Size of the total moment = 0.61 μB per cell
SG = P4/nbm
Density = 8.13 g cm⁻³
E = -138.2 eV per cell
Density of states at the Fermi level = 29.90 states/eV/f.u.
ΔE_f = 0.66 eV per atom

a = 7.798 Å, b = 7.798 Å, c = 16.675 Å
α = 90.00°, β = 90.00°, γ = 90.00°
Sites, in units of the cell vectors:
Tb: 0.001 0.501 0.097
Tb: 0.001 0.999 0.903
Tb: 0.097 0.597 0.421
Tb: 0.097 0.903 0.579
Tb: 0.250 0.250 0.230
Tb: 0.250 0.250 0.412
Tb: 0.250 0.250 0.588
Tb: 0.250 0.250 0.770
Tb: 0.403 0.597 0.579
Tb: 0.403 0.903 0.421
Tb: 0.499 0.501 0.903
Tb: 0.499 0.999 0.097
Tb: 0.501 0.001 0.903
Tb: 0.501 0.499 0.097
Tb: 0.597 0.097 0.579
Tb: 0.597 0.403 0.421
Tb: 0.750 0.750 0.230
Tb: 0.750 0.750 0.412
Tb: 0.750 0.750 0.588
Tb: 0.750 0.750 0.770
Tb: 0.903 0.097 0.421
Tb: 0.903 0.403 0.579
Tb: 0.999 0.001 0.097
Tb: 0.999 0.499 0.903
Ho: 0.250 0.750 0.225
Ho: 0.250 0.750 0.775
Ho: 0.750 0.250 0.225
Ho: 0.750 0.250 0.775
Pu: 0.250 0.750 0.000
Pu: 0.750 0.250 0.000

---

Entry from Alexandria via LeMat-Bulk: a relaxed EuMgAlAu crystal (PBE).

Output
Size of the total moment = 7.00 μB per cell
SG = F-43m
Density = 7.44 g cm⁻³
E = -20.4 eV per cell
Density of states at the Fermi level = 8.30 states/eV/f.u.
ΔE_f = -0.39 eV per atom

a = 5.018 Å, b = 5.018 Å, c = 5.018 Å
α = 60.00°, β = 60.00°, γ = 60.00°
Sites, in units of the cell vectors:
Eu: 0.000 0.000 0.000
Mg: 0.500 0.500 0.500
Al: 0.750 0.750 0.750
Au: 0.250 0.250 0.250

---

Entry from Alexandria via LeMat-Bulk: a relaxed FeReRh2 crystal (PBE).

Output
Size of the total moment = 2.32 μB per cell
SG = F-43m
Density = 13.33 g cm⁻³
E = -34.7 eV per cell
Density of states at the Fermi level = 5.28 states/eV/f.u.
ΔE_f = 0.24 eV per atom

a = 4.289 Å, b = 4.289 Å, c = 4.289 Å
α = 60.00°, β = 60.00°, γ = 60.00°
Sites, in units of the cell vectors:
Fe: 0.000 0.000 0.000
Re: 0.250 0.250 0.250
Rh: 0.500 0.500 0.500
Rh: 0.750 0.750 0.750

---

Entry from Alexandria via LeMat-Bulk: a relaxed Al2InBr crystal (PBE).

Output
Size of the total moment = 0.00 μB per cell
SG = Pmm2
Density = 3.79 g cm⁻³
E = -11.6 eV per cell
Density of states at the Fermi level = 2.35 states/eV/f.u.
Uncorrected formation energy = 0.0839 eV per atom

a = 3.464 Å, b = 4.212 Å, c = 7.459 Å
α = 90.00°, β = 90.00°, γ = 90.00°
Sites, in units of the cell vectors:
Al: 0.000 0.000 0.000
Al: 0.500 0.500 0.020
In: 0.000 0.000 0.618
Br: 0.500 0.500 0.375

---

Entry from Alexandria via LeMat-Bulk: a relaxed Zn3Ga3N5 crystal (PBE).

Output
Size of the total moment = 0.00 μB per cell
SG = P-1
Density = 5.51 g cm⁻³
E = -109.8 eV per cell
Density of states at the Fermi level = 0.01 states/eV/f.u.
Uncorrected formation energy = -0.0334 eV per atom

a = 5.873 Å, b = 6.603 Å, c = 8.448 Å
α = 107.69°, β = 107.45°, γ = 98.93°
Sites, in units of the cell vectors:
Zn: 0.124 0.215 0.461
Zn: 0.205 0.942 0.096
Zn: 0.324 0.115 0.782
Zn: 0.676 0.885 0.218
Zn: 0.795 0.058 0.904
Zn: 0.876 0.785 0.539
Ga: 0.216 0.456 0.087
Ga: 0.337 0.646 0.793
Ga: 0.390 0.796 0.466
Ga: 0.610 0.204 0.534
Ga: 0.663 0.354 0.207
Ga: 0.784 0.544 0.913
N: 0.130 0.619 0.928
N: 0.214 0.777 0.621
N: 0.276 0.997 0.350
N: 0.320 0.188 0.024
N: 0.452 0.367 0.701
N: 0.548 0.633 0.299
N: 0.680 0.812 0.976
N: 0.724 0.003 0.650
N: 0.786 0.223 0.379
N: 0.870 0.381 0.072

---

Entry from Alexandria via LeMat-Bulk: a relaxed SmNb2VN4 crystal (PBE).

Output
Size of the total moment = 0.00 μB per cell
SG = Cmcm
Density = 7.61 g cm⁻³
E = -151.6 eV per cell
Density of states at the Fermi level = 3.29 states/eV/f.u.
Uncorrected formation energy = -1.0653 eV per atom

a = 5.744 Å, b = 5.744 Å, c = 10.889 Å
α = 90.00°, β = 90.00°, γ = 147.41°
Sites, in units of the cell vectors:
Sm: 0.102 0.898 0.750
Sm: 0.898 0.102 0.250
Nb: 0.373 0.627 0.541
Nb: 0.373 0.627 0.959
Nb: 0.627 0.373 0.041
Nb: 0.627 0.373 0.459
V: 0.161 0.839 0.250
V: 0.839 0.161 0.750
N: 0.000 0.000 0.000
N: 0.000 0.000 0.500
N: 0.268 0.732 0.116
N: 0.268 0.732 0.384
N: 0.440 0.560 0.750
N: 0.560 0.440 0.250
N: 0.732 0.268 0.616
N: 0.732 0.268 0.884

---

Entry from Alexandria via LeMat-Bulk: a relaxed MnSnPS2 crystal (PBE).

Output
Size of the total moment = 3.00 μB per cell
SG = P4/mmm
Density = 4.52 g cm⁻³
E = -26.4 eV per cell
Density of states at the Fermi level = 3.36 states/eV/f.u.
Uncorrected formation energy = 0.0910 eV per atom

a = 4.671 Å, b = 4.671 Å, c = 4.528 Å
α = 90.00°, β = 90.00°, γ = 90.00°
Sites, in units of the cell vectors:
Mn: 0.000 0.000 0.000
Sn: 0.500 0.500 0.500
P: 0.000 0.000 0.500
S: 0.000 0.500 0.000
S: 0.500 0.000 0.000

---

Entry from Alexandria via LeMat-Bulk: a relaxed SbAu2C crystal (PBE).

Output
Size of the total moment = 0.00 μB per cell
SG = I-42d
Density = 10.70 g cm⁻³
E = -32.7 eV per cell
Density of states at the Fermi level = 2.01 states/eV/f.u.
Uncorrected formation energy = 0.8825 eV per atom

a = 7.306 Å, b = 7.306 Å, c = 7.306 Å
α = 139.37°, β = 139.37°, γ = 58.82°
Sites, in units of the cell vectors:
Sb: 0.000 0.000 0.000
Sb: 0.750 0.250 0.500
Au: 0.251 0.625 0.126
Au: 0.375 0.501 0.626
Au: 0.499 0.125 0.874
Au: 0.875 0.749 0.374
C: 0.250 0.750 0.500
C: 0.500 0.500 0.000

---

Entry from Alexandria via LeMat-Bulk: a relaxed Pm3Pr2Sm6Dy crystal (PBE).

Output
Size of the total moment = 0.00 μB per cell
SG = C2/m
Density = 7.22 g cm⁻³
E = -56.6 eV per cell
Density of states at the Fermi level = 17.11 states/eV/f.u.
ΔE_f = 0.01 eV per atom

a = 6.306 Å, b = 6.306 Å, c = 12.083 Å
α = 95.00°, β = 95.00°, γ = 119.98°
Sites, in units of the cell vectors:
Pm: 0.000 0.000 0.000
Pm: 0.334 0.666 0.000
Pm: 0.666 0.334 0.000
Pr: 0.167 0.833 0.500
Pr: 0.833 0.167 0.500
Sm: 0.085 0.417 0.250
Sm: 0.251 0.251 0.751
Sm: 0.417 0.085 0.250
Sm: 0.583 0.915 0.750
Sm: 0.749 0.749 0.249
Sm: 0.915 0.583 0.750
Dy: 0.500 0.500 0.500

---

Entry from Alexandria via LeMat-Bulk: a relaxed KHfRe2Ir crystal (PBE).

Output
Size of the total moment = 0.00 μB per cell
SG = P4/mmm
Density = 11.12 g cm⁻³
E = -35.2 eV per cell
Density of states at the Fermi level = 4.94 states/eV/f.u.
ΔE_f = 1.92 eV per atom

a = 4.787 Å, b = 4.787 Å, c = 5.095 Å
α = 90.00°, β = 90.00°, γ = 90.00°
Sites, in units of the cell vectors:
K: 0.000 0.000 0.000
Hf: 0.500 0.500 0.000
Re: 0.000 0.500 0.500
Re: 0.500 0.000 0.500
Ir: 0.000 0.000 0.500

---

Entry from Alexandria via LeMat-Bulk: a relaxed BeNb2NiBi crystal (PBE).

Output
Size of the total moment = 2.82 μB per cell
SG = P4/mmm
Density = 6.45 g cm⁻³
E = -23.4 eV per cell
Density of states at the Fermi level = 6.34 states/eV/f.u.
ΔE_f = 2.03 eV per atom

a = 5.255 Å, b = 5.255 Å, c = 4.313 Å
α = 90.00°, β = 90.00°, γ = 90.00°
Sites, in units of the cell vectors:
Be: 0.000 0.000 0.000
Nb: 0.000 0.500 0.500
Nb: 0.500 0.000 0.500
Ni: 0.500 0.500 0.000
Bi: 0.000 0.000 0.500

---

Entry from Alexandria via LeMat-Bulk: a relaxed NbVAg2 crystal (PBE).

Output
Size of the total moment = 2.63 μB per cell
SG = Fm-3m
Density = 8.50 g cm⁻³
E = -22.5 eV per cell
Density of states at the Fermi level = 5.50 states/eV/f.u.
ΔE_f = 0.59 eV per atom

a = 4.631 Å, b = 4.631 Å, c = 4.631 Å
α = 60.00°, β = 60.00°, γ = 60.00°
Sites, in units of the cell vectors:
Nb: 0.000 0.000 0.000
V: 0.500 0.500 0.500
Ag: 0.250 0.250 0.250
Ag: 0.750 0.750 0.750

---

Entry from Alexandria via LeMat-Bulk: a relaxed CeScTlRh crystal (PBE).

Output
Size of the total moment = 0.63 μB per cell
SG = F-43m
Density = 8.95 g cm⁻³
E = -23.4 eV per cell
Density of states at the Fermi level = 7.31 states/eV/f.u.
ΔE_f = -0.35 eV per atom

a = 5.055 Å, b = 5.055 Å, c = 5.055 Å
α = 60.00°, β = 60.00°, γ = 60.00°
Sites, in units of the cell vectors:
Ce: 0.000 0.000 0.000
Sc: 0.500 0.500 0.500
Tl: 0.250 0.250 0.250
Rh: 0.750 0.750 0.750

---

Entry from Alexandria via LeMat-Bulk: a relaxed La2Ge4IrRh3 crystal (PBE).

Output
Size of the total moment = 0.00 μB per cell
SG = P-4m2
Density = 9.36 g cm⁻³
E = -68.1 eV per cell
Density of states at the Fermi level = 5.70 states/eV/f.u.
ΔE_f = -0.88 eV per atom

a = 4.224 Å, b = 4.224 Å, c = 10.629 Å
α = 90.00°, β = 90.00°, γ = 90.00°
Sites, in units of the cell vectors:
La: 0.000 0.500 0.249
La: 0.500 0.000 0.751
Ge: 0.000 0.500 0.623
Ge: 0.000 0.500 0.876
Ge: 0.500 0.000 0.124
Ge: 0.500 0.000 0.377
Ir: 0.500 0.500 0.000
Rh: 0.000 0.000 0.000
Rh: 0.000 0.000 0.500
Rh: 0.500 0.500 0.500

---

Entry from Alexandria via LeMat-Bulk: a relaxed Pr3Dy2Pt2 crystal (PBE).

Output
Size of the total moment = 0.00 μB per cell
SG = C2/m
Density = 9.32 g cm⁻³
E = -40.4 eV per cell
Density of states at the Fermi level = 9.38 states/eV/f.u.
ΔE_f = -0.68 eV per atom

a = 6.523 Å, b = 6.523 Å, c = 8.871 Å
α = 109.58°, β = 109.58°, γ = 34.99°
Sites, in units of the cell vectors:
Pr: 0.000 0.000 0.000
Pr: 0.119 0.119 0.433
Pr: 0.881 0.881 0.567
Dy: 0.334 0.334 0.188
Dy: 0.666 0.666 0.812
Pt: 0.326 0.326 0.798
Pt: 0.674 0.674 0.202

---

Entry from Alexandria via LeMat-Bulk: a relaxed NaPmGePd crystal (PBE).

Output
Size of the total moment = 0.00 μB per cell
SG = F-43m
Density = 6.57 g cm⁻³
E = -17.5 eV per cell
Density of states at the Fermi level = 1.39 states/eV/f.u.
ΔE_f = -0.41 eV per atom

a = 4.986 Å, b = 4.986 Å, c = 4.986 Å
α = 60.00°, β = 60.00°, γ = 60.00°
Sites, in units of the cell vectors:
Na: 0.000 0.000 0.000
Pm: 0.500 0.500 0.500
Ge: 0.750 0.750 0.750
Pd: 0.250 0.250 0.250

---

Entry from Alexandria via LeMat-Bulk: a relaxed Ir3Os2Ru4 crystal (PBE).

Output
Size of the total moment = 0.00 μB per cell
SG = C2/c
Density = 17.12 g cm⁻³
E = -167.7 eV per cell
Density of states at the Fermi level = 11.31 states/eV/f.u.
ΔE_f = 0.26 eV per atom

a = 7.580 Å, b = 7.580 Å, c = 5.269 Å
α = 94.71°, β = 94.71°, γ = 61.19°
Sites, in units of the cell vectors:
Ir: 0.002 0.998 0.750
Ir: 0.299 0.396 0.273
Ir: 0.396 0.299 0.773
Ir: 0.604 0.701 0.227
Ir: 0.701 0.604 0.727
Ir: 0.998 0.002 0.250
Os: 0.040 0.627 0.639
Os: 0.373 0.960 0.861
Os: 0.627 0.040 0.139
Os: 0.960 0.373 0.361
Ru: 0.057 0.323 0.879
Ru: 0.291 0.675 0.991
Ru: 0.323 0.057 0.379
Ru: 0.325 0.709 0.509
Ru: 0.675 0.291 0.491
Ru: 0.677 0.943 0.621
Ru: 0.709 0.325 0.009
Ru: 0.943 0.677 0.121

---

Entry from Alexandria via LeMat-Bulk: a relaxed Ba2MoOs crystal (PBE).

Output
Size of the total moment = 0.00 μB per cell
SG = I4/mmm
Density = 9.27 g cm⁻³
E = -20.0 eV per cell
Density of states at the Fermi level = 4.31 states/eV/f.u.
ΔE_f = 1.49 eV per atom

a = 6.260 Å, b = 6.260 Å, c = 6.260 Å
α = 140.01°, β = 140.01°, γ = 57.84°
Sites, in units of the cell vectors:
Ba: 0.250 0.750 0.500
Ba: 0.750 0.250 0.500
Mo: 0.000 0.000 0.000
Os: 0.500 0.500 0.000

---

Entry from Alexandria via LeMat-Bulk: a relaxed ErTh2C2 crystal (PBE).

Output
Size of the total moment = 0.00 μB per cell
SG = I4/mmm
Density = 10.11 g cm⁻³
E = -39.1 eV per cell
Density of states at the Fermi level = 3.52 states/eV/f.u.
ΔE_f = -0.26 eV per atom

a = 7.927 Å, b = 7.927 Å, c = 7.927 Å
α = 152.27°, β = 152.27°, γ = 39.62°
Sites, in units of the cell vectors:
Er: 0.000 0.000 0.000
Th: 0.335 0.335 0.000
Th: 0.665 0.665 0.000
C: 0.167 0.167 0.000
C: 0.833 0.833 0.000

---

Entry from Alexandria via LeMat-Bulk: a relaxed LiTbTmPt crystal (PBE).

Output
Size of the total moment = 0.00 μB per cell
SG = F-43m
Density = 10.23 g cm⁻³
E = -19.8 eV per cell
Density of states at the Fermi level = 3.31 states/eV/f.u.
ΔE_f = -0.68 eV per atom

a = 4.955 Å, b = 4.955 Å, c = 4.955 Å
α = 60.00°, β = 60.00°, γ = 60.00°
Sites, in units of the cell vectors:
Li: 0.000 0.000 0.000
Tb: 0.250 0.250 0.250
Tm: 0.750 0.750 0.750
Pt: 0.500 0.500 0.500

---

Entry from Alexandria via LeMat-Bulk: a relaxed DySc3 crystal (PBE).

Output
Size of the total moment = 0.00 μB per cell
SG = Cmcm
Density = 4.49 g cm⁻³
E = -45.4 eV per cell
Density of states at the Fermi level = 6.89 states/eV/f.u.
ΔE_f = 0.22 eV per atom

a = 6.316 Å, b = 6.316 Å, c = 5.517 Å
α = 90.00°, β = 90.00°, γ = 91.43°
Sites, in units of the cell vectors:
Dy: 0.082 0.918 0.750
Dy: 0.918 0.082 0.250
Sc: 0.095 0.580 0.250
Sc: 0.413 0.587 0.750
Sc: 0.420 0.905 0.250
Sc: 0.580 0.095 0.750
Sc: 0.587 0.413 0.250
Sc: 0.905 0.420 0.750

---

Entry from Alexandria via LeMat-Bulk: a relaxed La2NdThSb4 crystal (PBE).

Output
Size of the total moment = 0.00 μB per cell
SG = P2/m
Density = 7.03 g cm⁻³
E = -48.0 eV per cell
Density of states at the Fermi level = 1.85 states/eV/f.u.
Uncorrected formation energy = -1.1866 eV per atom

a = 7.899 Å, b = 4.567 Å, c = 7.921 Å
α = 90.00°, β = 109.41°, γ = 90.00°
Sites, in units of the cell vectors:
La: 0.000 0.000 0.000
La: 0.500 0.500 0.000
Nd: 0.000 0.500 0.500
Th: 0.500 0.000 0.500
Sb: 0.250 0.000 0.744
Sb: 0.253 0.500 0.256
Sb: 0.747 0.500 0.744
Sb: 0.750 0.000 0.256

---

Entry from Alexandria via LeMat-Bulk: a relaxed SmTm4Ag5 crystal (PBE).

Output
Size of the total moment = 0.00 μB per cell
SG = P4/mmm
Density = 9.64 g cm⁻³
E = -40.2 eV per cell
Density of states at the Fermi level = 4.65 states/eV/f.u.
ΔE_f = -0.33 eV per atom

a = 3.575 Å, b = 3.575 Å, c = 18.409 Å
α = 90.00°, β = 90.00°, γ = 90.00°
Sites, in units of the cell vectors:
Sm: 0.000 0.000 0.000
Tm: 0.000 0.000 0.204
Tm: 0.000 0.000 0.401
Tm: 0.000 0.000 0.599
Tm: 0.000 0.000 0.796
Ag: 0.500 0.500 0.109
Ag: 0.500 0.500 0.303
Ag: 0.500 0.500 0.500
Ag: 0.500 0.500 0.697
Ag: 0.500 0.500 0.891

---

Entry from Alexandria via LeMat-Bulk: a relaxed Tb4Ho4Tm crystal (PBE).

Output
Size of the total moment = 0.00 μB per cell
SG = P-1
Density = 8.57 g cm⁻³
E = -40.3 eV per cell
Density of states at the Fermi level = 15.10 states/eV/f.u.
ΔE_f = 0.11 eV per atom

a = 5.479 Å, b = 6.761 Å, c = 8.694 Å
α = 110.87°, β = 108.22°, γ = 90.01°
Sites, in units of the cell vectors:
Tb: 0.133 0.467 0.264
Tb: 0.281 0.209 0.563
Tb: 0.719 0.791 0.437
Tb: 0.867 0.533 0.736
Ho: 0.076 0.885 0.148
Ho: 0.363 0.799 0.729
Ho: 0.637 0.201 0.271
Ho: 0.924 0.115 0.852
Tm: 0.500 0.500 0.000